Entry 1:
First-principles (PBE) data for a relaxed MgMn3Br8 crystal, as listed in Alexandria via LeMat-Bulk.

a = 7.769 Å, b = 7.769 Å, c = 8.336 Å
α = 118.18°, β = 118.18°, γ = 59.97°
Positions (direct):
Mg: 0.000 0.000 0.000
Mn: 0.000 0.500 0.000
Mn: 0.500 0.000 0.000
Mn: 0.500 0.500 0.000
Br: 0.239 0.239 0.216
Br: 0.240 0.740 0.216
Br: 0.260 0.260 0.784
Br: 0.260 0.760 0.784
Br: 0.740 0.240 0.216
Br: 0.740 0.740 0.216
Br: 0.760 0.260 0.784
Br: 0.761 0.761 0.784

Values from the calculation:
VASP energy   -54.02 eV per cell
Volume   30.43 A^3/atom
SG   No. 12

=====

Entry 2:
First-principles (PBE) data for a relaxed MgMn2Br6 crystal, as listed in Alexandria via LeMat-Bulk.

a = 8.951 Å, b = 8.951 Å, c = 7.132 Å
α = 97.93°, β = 97.93°, γ = 84.52°
Positions (direct):
Mg: 0.102 0.898 0.750
Mg: 0.898 0.102 0.250
Mn: 0.220 0.395 0.681
Mn: 0.395 0.220 0.181
Mn: 0.605 0.780 0.819
Mn: 0.780 0.605 0.319
Br: 0.034 0.186 0.614
Br: 0.117 0.630 0.864
Br: 0.186 0.034 0.114
Br: 0.291 0.454 0.372
Br: 0.370 0.883 0.636
Br: 0.454 0.291 0.872
Br: 0.546 0.709 0.128
Br: 0.630 0.117 0.364
Br: 0.709 0.546 0.628
Br: 0.814 0.966 0.886
Br: 0.883 0.370 0.136
Br: 0.966 0.814 0.386

Values from the calculation:
Volume   31.05 A^3/atom
SG   No. 15
Polymorph energy (0 for the lowest one)   0.58 eV per formula unit

=====

Entry 3:
First-principles (PBE) data for a relaxed MgMn2Br6 crystal, as listed in Alexandria via LeMat-Bulk.

a = 9.170 Å, b = 9.170 Å, c = 8.255 Å
α = 107.84°, β = 107.84°, γ = 24.42°
Positions (direct):
Mg: 0.000 0.000 0.000
Mn: 0.334 0.334 0.667
Mn: 0.666 0.666 0.333
Br: 0.159 0.159 0.101
Br: 0.174 0.174 0.566
Br: 0.493 0.493 0.768
Br: 0.507 0.507 0.232
Br: 0.826 0.826 0.434
Br: 0.841 0.841 0.899

Values from the calculation:
Volume   30.28 A^3/atom
SG   No. 12
Polymorph energy (0 for the lowest one)   0.00 eV per formula unit

=====

Entry 4:
First-principles (PBE) data for a relaxed MgMn3Br9 crystal, as listed in Alexandria via LeMat-Bulk.

a = 10.490 Å, b = 10.490 Å, c = 13.129 Å
α = 123.16°, β = 123.16°, γ = 53.84°
Positions (direct):
Mg: 0.222 0.778 0.500
Mg: 0.778 0.222 0.000
Mn: 0.015 0.260 0.828
Mn: 0.260 0.015 0.328
Mn: 0.297 0.435 0.672
Mn: 0.435 0.297 0.172
Mn: 0.684 0.789 0.220
Mn: 0.789 0.684 0.720
Br: 0.078 0.192 0.195
Br: 0.095 0.916 0.319
Br: 0.174 0.430 0.010
Br: 0.192 0.078 0.695
Br: 0.306 0.673 0.687
Br: 0.339 0.453 0.357
Br: 0.430 0.174 0.510
Br: 0.453 0.339 0.857
Br: 0.483 0.757 0.246
Br: 0.508 0.991 0.097
Br: 0.517 0.778 0.559
Br: 0.673 0.306 0.187
Br: 0.757 0.483 0.746
Br: 0.778 0.517 0.059
Br: 0.847 0.898 0.931
Br: 0.898 0.847 0.431
Br: 0.916 0.095 0.819
Br: 0.991 0.508 0.597

Values from the calculation:
VASP energy   -109.42 eV per cell
Volume   35.43 A^3/atom
SG   No. 9

=====

Entry 5:
First-principles (PBE) data for a relaxed MgMnBr4 crystal, as listed in Alexandria via LeMat-Bulk.

a = 6.412 Å, b = 6.412 Å, c = 6.412 Å
α = 60.00°, β = 60.00°, γ = 60.00°
Positions (direct):
Mg: 0.000 0.000 0.000
Mn: 0.750 0.750 0.750
Br: 0.374 0.374 0.374
Br: 0.374 0.374 0.878
Br: 0.374 0.878 0.374
Br: 0.878 0.374 0.374

Values from the calculation:
Volume   31.06 A^3/atom
SG   No. 216
Polymorph energy (0 for the lowest one)   10.26 eV per formula unit

=====

Entry 6:
First-principles (PBE) data for a relaxed MgMnBr4 crystal, as listed in Alexandria via LeMat-Bulk.

a = 7.067 Å, b = 7.067 Å, c = 7.067 Å
α = 126.63°, β = 126.63°, γ = 78.85°
Positions (direct):
Mg: 0.000 0.000 0.000
Mn: 0.750 0.250 0.500
Br: 0.096 0.623 0.972
Br: 0.377 0.349 0.473
Br: 0.651 0.124 0.028
Br: 0.876 0.904 0.527

Values from the calculation:
Volume   36.66 A^3/atom
SG   No. 82
Polymorph energy (0 for the lowest one)   0.26 eV per formula unit

=====

Entry 7:
First-principles (PBE) data for a relaxed MgMnBr4 crystal, as listed in Alexandria via LeMat-Bulk.

a = 6.726 Å, b = 3.881 Å, c = 7.006 Å
α = 90.00°, β = 90.20°, γ = 90.00°
Positions (direct):
Mg: 0.000 0.000 0.000
Mn: 0.500 0.500 0.000
Br: 0.165 0.500 0.785
Br: 0.334 0.000 0.216
Br: 0.666 0.000 0.784
Br: 0.835 0.500 0.215

Values from the calculation:
Volume   30.48 A^3/atom
SG   No. 10
Polymorph energy (0 for the lowest one)   0.00 eV per formula unit

=====

Entry 8:
First-principles (PBE) data for a relaxed MgMn3Br crystal, as listed in Alexandria via LeMat-Bulk.

a = 4.537 Å, b = 4.537 Å, c = 4.537 Å
α = 90.00°, β = 90.00°, γ = 90.00°
Positions (direct):
Mg: 0.000 0.000 0.000
Mn: 0.000 0.500 0.500
Mn: 0.500 0.000 0.500
Mn: 0.500 0.500 0.000
Br: 0.500 0.500 0.500

Values from the calculation:
Volume   18.68 A^3/atom
SG   No. 221
Polymorph energy (0 for the lowest one)   0.00 eV per formula unit

=====

What is the volume in the eighth record?
18.68 A^3/atom

=====

Which value of volume does entry 2 give?
31.05 A^3/atom

=====

Look up the volume of the first one.
30.43 A^3/atom

=====

The lowest volume belongs to which entry?
MgMn3Br